# Ba2ZrNbIn | Alexandria | PBE | relaxed
data_Ba2ZrNbIn
_chemical_formula_sum 'Ba2 Zr1 Nb1 In1'
_cell_length_a 6.4356
_cell_length_b 6.4356
_cell_length_c 4.9340
_cell_angle_alpha 90.00
_cell_angle_beta 90.00
_cell_angle_gamma 90.00
_symmetry_space_group_name_H-M 'P 4/m m m'
_symmetry_Int_Tables_number 123
_symmetry_space_group_name_Hall '-P 4 2'
loop_
_atom_site_label
_atom_site_type_symbol
_atom_site_fract_x
_atom_site_fract_y
_atom_site_fract_z
_atom_site_occupancy
Ba1 Ba 0.0000 0.5000 0.0000 1
Zr1 Zr 0.0000 0.0000 0.0000 1
Nb1 Nb 0.0000 0.0000 0.5000 1
In1 In 0.5000 0.5000 0.5000 1
# - calculated volume (Å³/cell) = 204.4
# - magnetization (μB per cell) = 1.36
# - E_form (eV/atom) = 0.907

---

# TaTlCoS3 | Alexandria | PBE | relaxed
data_TaTlCoS3
_chemical_formula_sum 'Ta2 Tl2 Co2 S6'
_cell_length_a 8.4869
_cell_length_b 3.4765
_cell_length_c 9.3752
_cell_angle_alpha 90.00
_cell_angle_beta 115.34
_cell_angle_gamma 90.00
_symmetry_space_group_name_H-M 'P 1 21/m 1'
_symmetry_Int_Tables_number 11
_symmetry_space_group_name_Hall '-P 2yb'
loop_
_atom_site_label
_atom_site_type_symbol
_atom_site_fract_x
_atom_site_fract_y
_atom_site_fract_z
_atom_site_occupancy
Ta1 Ta 0.2018 0.2500 0.1705 1
Tl1 Tl 0.2500 0.7500 0.7338 1
Co1 Co 0.4164 0.7500 0.3887 1
S1 S 0.0321 0.2500 0.8653 1
S2 S 0.2899 0.2500 0.4510 1
S3 S 0.3905 0.7500 0.1397 1
# - formation energy without anion corrections (meV per atom) = -721
# - calculated volume (Å³/cell) = 250.0
# - magnetization (μB per cell) = 1.81

---

# AgOsPt2I | Alexandria | PBE | relaxed
data_AgOsPt2I
_chemical_formula_sum 'Ag1 Os1 Pt2 I1'
_cell_length_a 4.8368
_cell_length_b 4.8368
_cell_length_c 5.4167
_cell_angle_alpha 90.00
_cell_angle_beta 90.00
_cell_angle_gamma 90.00
_symmetry_space_group_name_H-M 'P 4/m m m'
_symmetry_Int_Tables_number 123
_symmetry_space_group_name_Hall '-P 4 2'
loop_
_atom_site_label
_atom_site_type_symbol
_atom_site_fract_x
_atom_site_fract_y
_atom_site_fract_z
_atom_site_occupancy
Ag1 Ag 0.0000 0.0000 0.0000 1
Os1 Os 0.5000 0.5000 0.5000 1
Pt1 Pt 0.0000 0.5000 0.5000 1
I1 I 0.5000 0.5000 0.0000 1
# - formation energy without anion corrections (meV per atom) = 1172
# - calculated volume (Å³/cell) = 126.7
# - magnetization (μB per cell) = 0.00

---

# ZnCd2Si | Alexandria | PBE | relaxed
data_ZnCd2Si
_chemical_formula_sum 'Zn1 Cd2 Si1'
_cell_length_a 2.8842
_cell_length_b 4.4581
_cell_length_c 6.1759
_cell_angle_alpha 90.00
_cell_angle_beta 90.51
_cell_angle_gamma 90.00
_symmetry_space_group_name_H-M 'P 1 m 1'
_symmetry_Int_Tables_number 6
_symmetry_space_group_name_Hall 'P -2y'
loop_
_atom_site_label
_atom_site_type_symbol
_atom_site_fract_x
_atom_site_fract_y
_atom_site_fract_z
_atom_site_occupancy
Zn1 Zn 0.0000 0.0000 0.0000 1
Cd1 Cd 0.0118 0.0000 0.5108 1
Cd2 Cd 0.5060 0.5000 0.2415 1
Si1 Si 0.9162 0.5000 0.7999 1
# - excess energy over the best structure of this formula in the dataset (eV per formula unit) = 0.09
# - formation energy without anion corrections (meV per atom) = 244
# - calculated volume (Å³/cell) = 79.4
# - magnetization (μB per cell) = 0.00

---

# Cu2MoIr | Alexandria | PBE | relaxed
data_Cu2MoIr
_chemical_formula_sum 'Cu4 Mo2 Ir2'
_cell_length_a 3.7354
_cell_length_b 3.7354
_cell_length_c 7.8721
_cell_angle_alpha 90.00
_cell_angle_beta 90.00
_cell_angle_gamma 90.00
_symmetry_space_group_name_H-M 'I 4/m m m'
_symmetry_Int_Tables_number 139
_symmetry_space_group_name_Hall '-I 4 2'
loop_
_atom_site_label
_atom_site_type_symbol
_atom_site_fract_x
_atom_site_fract_y
_atom_site_fract_z
_atom_site_occupancy
Cu1 Cu 0.0000 0.5000 0.2500 1
Mo1 Mo 0.0000 0.0000 0.0000 1
Ir1 Ir 0.0000 0.0000 0.5000 1
# - excess energy over the best structure of this formula in the dataset (eV per formula unit) = 0.61
# - calculated volume (Å³/cell) = 109.8
# - magnetization (μB per cell) = 0.01
# - E_form (eV/atom) = 0.185

---

# MgAl2Mo | Alexandria | PBE | relaxed
data_MgAl2Mo
_chemical_formula_sum 'Mg4 Al8 Mo4'
_cell_length_a 6.3748
_cell_length_b 6.3748
_cell_length_c 6.3748
_cell_angle_alpha 90.00
_cell_angle_beta 90.00
_cell_angle_gamma 90.00
_symmetry_space_group_name_H-M 'F -4 3 m'
_symmetry_Int_Tables_number 216
_symmetry_space_group_name_Hall 'F -4 2 3'
loop_
_atom_site_label
_atom_site_type_symbol
_atom_site_fract_x
_atom_site_fract_y
_atom_site_fract_z
_atom_site_occupancy
Mg1 Mg 0.0000 0.0000 0.0000 1
Al1 Al 0.0000 0.0000 0.5000 1
Al2 Al 0.2500 0.2500 0.7500 1
Mo1 Mo 0.2500 0.2500 0.2500 1
# - calculated volume (Å³/cell) = 259.1
# - magnetization (μB per cell) = 0.00
# - E_form (eV/atom) = 0.246